Entry 1:
Below is a relaxed Pm3SeO4 crystal, with properties calculated at the PBE level.

Unit cell a=3.952 b=3.952 c=9.399 alpha=90.00 beta=90.00 gamma=90.00
Fractional coordinates of all 8 atoms:
Pm: 0.500 0.500 0.728
O: 0.000 0.500 0.155
Pm: 0.500 0.500 0.272
Se: 0.000 0.000 0.500
O: 0.000 0.500 0.845
Pm: 0.000 0.000 0.000
O: 0.500 0.000 0.155
O: 0.500 0.000 0.845

Summary:
Fermi-level density of states ... 0.831 states/eV per atom
ΔE_f (raw) ... -2.91 eV/atom

Entry 2:
Below is a relaxed Be3Ir12Ru5 crystal, with properties calculated at the PBE level.

Unit cell a=12.077 b=12.077 c=12.077 alpha=109.47 beta=109.47 gamma=109.47
Fractional coordinates of all 80 atoms:
Ir: 0.127 0.742 0.572
Ru: 0.750 0.625 0.375
Ir: 0.873 0.258 0.428
Ru: 0.000 0.000 0.000
Ir: 0.616 0.742 0.671
Ru: 0.000 0.500 0.500
Ir: 0.242 0.572 0.627
Ru: 0.125 0.375 0.250
Ir: 0.384 0.258 0.329
Ir: 0.258 0.384 0.829
Ir: 0.555 0.627 0.384
Ir: 0.945 0.829 0.572
Ru: 0.875 0.625 0.750
Ru: 0.250 0.875 0.125
Ir: 0.428 0.758 0.873
Ir: 0.384 0.127 0.555
Ir: 0.616 0.873 0.445
Ir: 0.127 0.384 0.055
Ir: 0.072 0.627 0.742
Ir: 0.572 0.329 0.945
Ru: 0.500 0.500 0.000
Be: 0.375 0.625 0.250
Ir: 0.671 0.242 0.616
Ir: 0.572 0.242 0.127
Ir: 0.829 0.884 0.258
Be: 0.375 0.750 0.625
Ir: 0.928 0.373 0.258
Be: 0.750 0.375 0.125
Ru: 0.625 0.750 0.875
Ir: 0.742 0.127 0.072
Ru: 0.375 0.250 0.125
Ru: 0.125 0.750 0.375
Ir: 0.829 0.945 0.072
Ru: 0.500 0.000 0.500
Be: 0.125 0.875 0.750
Be: 0.250 0.125 0.375
Ir: 0.116 0.171 0.242
Ir: 0.329 0.572 0.445
Ru: 0.000 0.000 0.500
Ir: 0.055 0.171 0.428
Ir: 0.072 0.445 0.829
Ir: 0.671 0.428 0.555
Ru: 0.625 0.875 0.250
Ir: 0.884 0.829 0.758
Ir: 0.627 0.072 0.242
Ir: 0.242 0.671 0.116
Be: 0.625 0.375 0.750
Ir: 0.373 0.445 0.116
Ru: 0.500 0.500 0.500
Ir: 0.884 0.055 0.627
Be: 0.125 0.250 0.875
Ir: 0.055 0.884 0.127
Be: 0.250 0.625 0.875
Be: 0.875 0.125 0.250
Ir: 0.445 0.373 0.616
Be: 0.625 0.250 0.375
Ir: 0.945 0.116 0.873
Ir: 0.258 0.873 0.928
Ru: 0.500 0.000 0.000
Ir: 0.373 0.928 0.758
Ir: 0.428 0.671 0.055
Ir: 0.116 0.945 0.373
Ir: 0.627 0.555 0.884
Be: 0.875 0.750 0.125
Ir: 0.928 0.555 0.171
Ir: 0.873 0.616 0.945
Ir: 0.758 0.329 0.884
Ir: 0.171 0.055 0.928
Ir: 0.758 0.428 0.373
Ir: 0.742 0.616 0.171
Ru: 0.750 0.125 0.875
Ru: 0.250 0.375 0.625
Ru: 0.375 0.125 0.750
Ir: 0.329 0.758 0.384
Ir: 0.555 0.928 0.671
Be: 0.750 0.875 0.625
Ir: 0.171 0.116 0.742
Ru: 0.000 0.500 0.000
Ir: 0.445 0.072 0.329
Ru: 0.875 0.250 0.625

Summary:
Energy relative to the elements ... 713 meV/atom
Fermi-level density of states ... 1.268 states/eV per atom

Entry 3:
Below is a relaxed SnH2Ru crystal, with properties calculated at the PBE level.

Unit cell a=3.938 b=3.938 c=3.938 alpha=60.00 beta=60.00 gamma=60.00
Fractional coordinates of all 4 atoms:
Sn: 0.500 0.500 0.500
H: 0.250 0.250 0.250
Ru: 0.000 0.000 0.000
H: 0.750 0.750 0.750

Summary:
Fermi-level density of states ... 0.539 states/eV per atom
Offset from the most stable computed form ... 960 meV per atom

Entry 4:
Below is a relaxed RbMgGe crystal, with properties calculated at the PBE level.

Unit cell a=4.155 b=4.883 c=12.472 alpha=80.41 beta=87.37 gamma=65.12
Fractional coordinates of all 6 atoms:
Mg: 0.782 0.042 0.730
Mg: 0.386 0.782 0.907
Rb: 0.035 0.423 0.152
Ge: 0.687 0.174 0.952
Rb: 0.465 0.728 0.508
Ge: 0.096 0.397 0.795

Summary:
Energy relative to the elements ... -22 meV/atom
Fermi-level density of states ... 0.498 states/eV per atom
Offset from the most stable computed form ... 128 meV per atom

Among the records above, which one has the highest Fermi-level density of states?
Be3Ir12Ru5

Number 3 is which compound?
SnH2Ru

Which of these has the lowest Fermi-level density of states?
RbMgGe